Computed, not measured: a relaxed Te12Pd7Au crystal at the PBE level of DFT.

Calculated values
Calculated volume   26.2 Å³ per atom
Electronic total energy   -81.1 eV per formula unit
Crystal system   trigonal
Space-group type   No. 148

abc: 8.3429 8.3429 8.3429
angles: 103.44 103.44 103.44
Atoms (fractional coordinates):
Te1 0.3862 0.4585 0.1559
Pd1 0.1237 0.0526 0.3575
Pd2 0.9474 0.6425 0.8763
Te2 0.4585 0.1559 0.3862
Te3 0.0289 0.7005 0.2192
Au1 0.0000 0.0000 0.0000
Te4 0.8441 0.6138 0.5415
Te5 0.1559 0.3862 0.4585
Te6 0.2192 0.0289 0.7005
Pd3 0.3575 0.1237 0.0526
Te7 0.2995 0.7808 0.9711
Te8 0.5415 0.8441 0.6138
Pd4 0.0526 0.3575 0.1237
Pd5 0.6425 0.8763 0.9474
Te9 0.9711 0.2995 0.7808
Te10 0.7808 0.9711 0.2995
Te11 0.7005 0.2192 0.0289
Te12 0.6138 0.5415 0.8441
Pd6 0.5000 0.5000 0.5000
Pd7 0.8763 0.9474 0.6425

Computed, not measured: a relaxed Si2Bi2N crystal at the PBE level of DFT.

Calculated values
Calculated volume   23.8 Å³ per atom
Energy above the most stable polymorph in this dataset   0.0 kJ/mol of formula units
Crystal system   tetragonal
Space-group type   No. 139

abc: 5.8679 5.8679 5.3982
angles: 57.08 57.08 90.00
Atoms (fractional coordinates):
N1 0.0000 0.0000 0.0000
Si1 0.2416 0.2416 0.5168
Si2 0.7584 0.7584 0.4832
Bi1 0.7500 0.2500 0.5000
Bi2 0.2500 0.7500 0.5000

Computed, not measured: a relaxed Tl2HgO2 crystal at the PBE level of DFT.

Calculated values
Calculated volume   23.8 Å³ per atom
Energy above the most stable polymorph in this dataset   54.0 kJ/mol of formula units
Crystal system   tetragonal
Space-group type   No. 139

abc: 4.2730 4.2730 7.1898
angles: 107.29 107.29 90.00
Atoms (fractional coordinates):
Tl1 0.6602 0.6602 0.3205
O1 0.1548 0.1548 0.3096
O2 0.8452 0.8452 0.6904
Tl2 0.3398 0.3398 0.6795
Hg1 0.0000 0.0000 0.0000

Computed, not measured: a relaxed NaGa4Pd crystal at the PBE level of DFT.

Calculated values
Calculated volume   20.4 Å³ per atom
Energy above the most stable polymorph in this dataset   0.0 kJ/mol of formula units
Crystal system   triclinic
Space-group type   No. 2
Formation enthalpy at 0 K   -0.24 eV per atom

abc: 5.8849 7.1630 7.0913
angles: 113.27 114.12 90.91
Atoms (fractional coordinates):
Ga1 0.6422 0.3568 0.5509
Ga2 0.1029 0.1488 0.4543
Na1 0.9674 0.2480 0.9969
Ga3 0.4377 0.5529 0.8317
Na2 0.0326 0.7520 0.0031
Ga4 0.6158 0.9603 0.1752
Ga5 0.5623 0.4471 0.1683
Ga6 0.3578 0.6432 0.4491
Ga7 0.8971 0.8512 0.5457
Ga8 0.3842 0.0397 0.8248
Pd1 0.5000 0.0000 0.5000
Pd2 0.0000 0.5000 0.5000

Computed, not measured: a relaxed Pr4PaRh4 crystal at the PBE level of DFT.

Calculated values
Calculated volume   26.9 Å³ per atom
Crystal system   monoclinic
Space-group type   No. 12
Formation enthalpy at 0 K   -0.64 eV per atom

abc: 4.3621 7.5484 8.5253
angles: 65.71 75.18 73.21
Atoms (fractional coordinates):
Pr1 0.3320 0.5384 0.7976
Rh1 0.0944 0.7670 0.0442
Rh2 0.9056 0.2330 0.9558
Pr2 0.6680 0.4616 0.2024
Pr3 0.8735 0.8744 0.3786
Pa1 0.5000 0.0000 0.0000
Rh3 0.3009 0.1666 0.2317
Rh4 0.6991 0.8334 0.7683
Pr4 0.1265 0.1256 0.6214

Computed, not measured: a relaxed SiOs2Pt crystal at the PBE level of DFT.

Calculated values
Calculated volume   14.4 Å³ per atom
Electronic total energy   -34.4 eV per formula unit
Crystal system   monoclinic
Space-group type   No. 6

abc: 4.5049 2.8224 4.6583
angles: 90.00 104.11 90.00
Atoms (fractional coordinates):
Si1 0.5498 0.0000 0.5602
Os1 0.1445 0.0000 0.1284
Os2 0.6156 0.5000 0.9960
Pt1 0.0121 0.5000 0.5940

Which of these has the highest calculated volume? Pr4PaRh4

Which value of calculated volume does entry 6 give? 14.4 Å³ per atom

calculated volume of number 1 (Te12Pd7Au)? 26.2 Å³ per atom

Repeat the sixth record exactly.
Computed, not measured: a relaxed SiOs2Pt crystal at the PBE level of DFT.

Calculated values
Calculated volume   14.4 Å³ per atom
Electronic total energy   -34.4 eV per formula unit
Crystal system   monoclinic
Space-group type   No. 6

abc: 4.5049 2.8224 4.6583
angles: 90.00 104.11 90.00
Atoms (fractional coordinates):
Si1 0.5498 0.0000 0.5602
Os1 0.1445 0.0000 0.1284
Os2 0.6156 0.5000 0.9960
Pt1 0.0121 0.5000 0.5940